Entry 1:
Density functional theory data (GGA-PBE) for crystalline BaCdHg2Pb at its relaxed geometry.

abc: 4.8860 4.8860 7.3640
angles: 109.37 109.37 90.00
With the nearest neighbours (Å) after each atom.
Atoms (fractional coordinates):
Hg (0.3896, 0.3896, 0.7793)  1 Hg 2.87, 2 Pb 3.04, 2 Cd 3.04
Pb (0.7500, 0.2500, 0.5000)  4 Hg 3.04
Cd (0.2500, 0.7500, 0.5000)  4 Hg 3.04
Hg (0.6104, 0.6104, 0.2207)  1 Hg 2.87, 2 Pb 3.04, 2 Cd 3.04
Ba (0.0000, 0.0000, 0.0000)  8 Hg 3.74, 4 Pb 4.07, 4 Cd 4.07

Computed properties:
Fermi-level density of states, states/eV/f.u.: 2.273
ΔE_f, eV/atom: -0.3375
Energy, eV/atom: -1.767
Relative energy among the computed polymorphs, meV/atom: 0
Space-group type: No. 119

Entry 2:
Density functional theory data (GGA-PBE) for crystalline La2NdDy at its relaxed geometry.

abc: 3.6847 3.6847 12.1634
angles: 81.29 81.29 60.00
With the nearest neighbours (Å) after each atom.
Atoms (fractional coordinates):
La (0.0821, 0.0821, 0.7538)  3 Dy 3.61, 3 Nd 3.68, 6 La 3.68
La (0.2514, 0.2514, 0.2459)  3 Dy 3.66, 6 La 3.68, 3 Nd 3.74
Nd (0.4991, 0.4991, 0.5027)  6 La 3.68-3.74, 6 Nd 3.68
Dy (0.6675, 0.6675, 0.9976)  6 La 3.61-3.66, 6 Dy 3.68

Computed properties:
Fermi-level density of states, states/eV/f.u.: 6.684
ΔE_f, eV/atom: 0.0220
Energy, eV/atom: -4.784
Relative energy among the computed polymorphs, meV/atom: 10
Space-group type: No. 160

Entry 3:
Density functional theory data (GGA-PBE) for crystalline Th2Cd2Pt15 at its relaxed geometry.

abc: 7.0507 7.0507 7.0507
angles: 83.24 83.24 83.24
With the nearest neighbours (Å) after each atom.
Atoms (fractional coordinates):
Pt (0.0000, 0.6805, 0.3195)  8 Pt 2.71-2.99
Pt (0.0000, 0.0000, 0.5000)  8 Pt 2.71-2.73, 2 Cd 2.85
Pt (0.3195, 0.0000, 0.6805)  8 Pt 2.71-2.99
Pt (0.8349, 0.3442, 0.3442)  8 Pt 2.66-2.81, 1 Cd 2.93
Pt (0.0000, 0.3195, 0.6805)  8 Pt 2.71-2.99
Pt (0.3442, 0.3442, 0.8349)  8 Pt 2.66-2.81, 1 Cd 2.93
Pt (0.5000, 0.0000, 0.0000)  8 Pt 2.71-2.73, 2 Cd 2.85
Pt (0.3195, 0.6805, 0.0000)  8 Pt 2.71-2.99
Pt (0.3442, 0.8349, 0.3442)  8 Pt 2.66-2.81, 1 Cd 2.93
Pt (0.6805, 0.3195, 0.0000)  8 Pt 2.71-2.99
Pt (0.6805, 0.0000, 0.3195)  8 Pt 2.71-2.99
Pt (0.6558, 0.6558, 0.1651)  8 Pt 2.66-2.81, 1 Cd 2.93
Th (0.6488, 0.6488, 0.6488)  12 Pt 3.20-3.40, 1 Cd 3.40
Pt (0.0000, 0.5000, 0.0000)  8 Pt 2.71-2.73, 2 Cd 2.85
Cd (0.8996, 0.8996, 0.8996)  1 Cd 2.73, 6 Pt 2.85-2.93
Pt (0.6558, 0.1651, 0.6558)  8 Pt 2.66-2.81, 1 Cd 2.93
Pt (0.1651, 0.6558, 0.6558)  8 Pt 2.66-2.81, 1 Cd 2.93
Th (0.3512, 0.3512, 0.3512)  12 Pt 3.20-3.40, 1 Cd 3.40
Cd (0.1004, 0.1004, 0.1004)  1 Cd 2.73, 6 Pt 2.85-2.93

Computed properties:
Fermi-level density of states, states/eV/f.u.: 17.243
ΔE_f, eV/atom: -0.5499
Energy, eV/atom: -6.196
Space-group type: No. 166

Entry 4:
Density functional theory data (GGA-PBE) for crystalline Tm3Mg2Tl at its relaxed geometry.

abc: 3.7652 3.7652 11.1227
angles: 90.00 90.00 90.00
With the nearest neighbours (Å) after each atom.
Atoms (fractional coordinates):
Mg (0.5000, 0.5000, 0.1625)  8 Tm 3.22-3.25
Tm (0.0000, 0.0000, 0.6694)  4 Mg 3.25, 4 Tl 3.26
Tm (0.0000, 0.0000, 0.3306)  4 Mg 3.25, 4 Tl 3.26
Mg (0.5000, 0.5000, 0.8375)  8 Tm 3.22-3.25
Tm (0.0000, 0.0000, 0.0000)  8 Mg 3.22
Tl (0.5000, 0.5000, 0.5000)  8 Tm 3.26

Computed properties:
Fermi-level density of states, states/eV/f.u.: 6.372
ΔE_f, eV/atom: -0.1516
Energy, eV/atom: -3.313
Space-group type: No. 123

Entry 5:
Density functional theory data (GGA-PBE) for crystalline AlFeSe2 at its relaxed geometry.

abc: 4.6132 4.6133 3.2206
angles: 90.00 90.00 89.99
With the nearest neighbours (Å) after each atom.
Atoms (fractional coordinates):
Se (0.0000, 0.0000, 0.0000)  4 Al 2.81, 4 Fe 2.81
Fe (0.0000, 0.5000, 0.5000)  8 Se 2.81
Se (0.5000, 0.5000, 0.0000)  4 Fe 2.81, 4 Al 2.81
Al (0.5000, 0.0000, 0.5000)  8 Se 2.81

Computed properties:
Fermi-level density of states, states/eV/f.u.: 2.474
Energy, eV/atom: -4.606
Space-group type: No. 123

Entry 6:
Density functional theory data (GGA-PBE) for crystalline Pm3ZnGa3 at its relaxed geometry.

abc: 4.4951 5.9107 13.8346
angles: 84.70 80.65 67.65
With the nearest neighbours (Å) after each atom.
Atoms (fractional coordinates):
Ga (0.1297, 0.2851, 0.4554)  2 Zn 2.60, 1 Ga 2.68
Pm (0.5466, 0.2912, 0.6155)  7 Ga 3.13-3.35, 4 Zn 3.14-3.27
Zn (0.2512, 0.8900, 0.6076)  3 Ga 2.60-2.62
Ga (0.8703, 0.7149, 0.5446)  2 Zn 2.60, 1 Ga 2.68
Ga (0.9563, 0.8536, 0.2338)  1 Zn 2.62, 1 Ga 2.68
Pm (0.4534, 0.7088, 0.3845)  7 Ga 3.13-3.35, 4 Zn 3.14-3.27
Pm (0.5993, 0.7206, 0.0807)  7 Ga 3.13-3.24
Pm (0.7486, 0.7236, 0.7792)  6 Ga 3.12-3.22, 2 Zn 3.35
Ga (0.8892, 0.1485, 0.0730)  2 Ga 2.61-2.68
Pm (0.4007, 0.2794, 0.9193)  7 Ga 3.13-3.24
Ga (0.1108, 0.8515, 0.9270)  2 Ga 2.61-2.68
Zn (0.7488, 0.1100, 0.3924)  3 Ga 2.60-2.62
Pm (0.2514, 0.2764, 0.2208)  6 Ga 3.12-3.22, 2 Zn 3.35
Ga (0.0437, 0.1464, 0.7662)  1 Zn 2.62, 1 Ga 2.68

Computed properties:
Fermi-level density of states, states/eV/f.u.: 5.438
ΔE_f, eV/atom: -0.5757
Energy, eV/atom: -4.091
Space-group type: No. 12

Entry 7:
Density functional theory data (GGA-PBE) for crystalline CeErInAg at its relaxed geometry.

abc: 5.3082 5.3082 5.3082
angles: 60.00 60.00 60.00
With the nearest neighbours (Å) after each atom.
Atoms (fractional coordinates):
Ag (0.7500, 0.7500, 0.7500)  4 Ce 3.25, 4 Er 3.25
Ce (0.0000, 0.0000, 0.0000)  4 Ag 3.25, 4 In 3.25
Er (0.5000, 0.5000, 0.5000)  4 In 3.25, 4 Ag 3.25
In (0.2500, 0.2500, 0.2500)  4 Ce 3.25, 4 Er 3.25

Computed properties:
Fermi-level density of states, states/eV/f.u.: 10.475
ΔE_f, eV/atom: -0.2683
Energy, eV/atom: -4.290
Space-group type: No. 216

Entry 8:
Density functional theory data (GGA-PBE) for crystalline AcZnPt4 at its relaxed geometry.

abc: 4.0884 6.9002 8.3051
angles: 90.00 104.25 90.00
With the nearest neighbours (Å) after each atom.
Atoms (fractional coordinates):
Zn (0.2346, 0.7500, 0.4691)  7 Pt 2.52-2.63
Ac (0.8938, 0.7500, 0.7875)  9 Pt 2.96-3.17, 2 Zn 3.28
Zn (0.7654, 0.2500, 0.5309)  7 Pt 2.52-2.63
Pt (0.5000, 0.0000, 0.0000)  6 Pt 2.88-2.95, 4 Ac 3.17
Pt (0.3227, 0.4478, 0.6454)  3 Zn 2.52-2.63, 1 Pt 2.73
Pt (0.0778, 0.7500, 0.1555)  1 Zn 2.52
Pt (0.5000, 0.5000, 0.0000)  6 Pt 2.88-2.95, 4 Ac 3.17
Pt (0.6773, 0.5522, 0.3546)  3 Zn 2.52-2.63, 1 Pt 2.73
Ac (0.1062, 0.2500, 0.2125)  9 Pt 2.96-3.17, 2 Zn 3.28
Pt (0.6773, 0.9478, 0.3546)  3 Zn 2.52-2.63, 1 Pt 2.73
Pt (0.9222, 0.2500, 0.8445)  1 Zn 2.52
Pt (0.3227, 0.0522, 0.6454)  3 Zn 2.52-2.63, 1 Pt 2.73

Computed properties:
Fermi-level density of states, states/eV/f.u.: 2.338
ΔE_f, eV/atom: -0.6761
Energy, eV/atom: -5.600
Relative energy among the computed polymorphs, meV/atom: 62
Space-group type: No. 63

Entry 9:
Density functional theory data (GGA-PBE) for crystalline PuCd3 at its relaxed geometry.

abc: 2.9695 5.9481 6.4760
angles: 117.34 103.25 90.00
With the nearest neighbours (Å) after each atom.
Atoms (fractional coordinates):
Cd (0.7533, 0.0826, 0.5065)  8 Cd 2.97-3.32
Cd (0.2467, 0.5761, 0.4935)  8 Cd 2.97-3.32
Pu (0.0000, 0.0030, 0.0000)  2 Pu 2.97, 2 Cd 3.31
Cd (0.5000, 0.5049, 0.0000)  6 Cd 2.97-3.29, 2 Pu 3.31

Computed properties:
Fermi-level density of states, states/eV/f.u.: 8.843
ΔE_f, eV/atom: 0.0130
Energy, eV/atom: -4.256
Space-group type: No. 44

Entry 10:
Density functional theory data (GGA-PBE) for crystalline Lu2AlOs at its relaxed geometry.

abc: 3.4289 3.4289 6.9090
angles: 90.00 90.00 90.00
With the nearest neighbours (Å) after each atom.
Atoms (fractional coordinates):
Lu (0.0000, 0.0000, 0.2296)  4 Os 2.90, 4 Al 3.06, 1 Lu 3.17
Al (0.5000, 0.5000, 0.5000)  8 Lu 3.06
Os (0.5000, 0.5000, 0.0000)  8 Lu 2.90
Lu (0.0000, 0.0000, 0.7704)  4 Os 2.90, 4 Al 3.06, 1 Lu 3.17

Computed properties:
Fermi-level density of states, states/eV/f.u.: 1.728
ΔE_f, eV/atom: -0.4193
Energy, eV/atom: -6.423
Relative energy among the computed polymorphs, meV/atom: 0
Space-group type: No. 123

Entry 11:
Density functional theory data (GGA-PBE) for crystalline CeCl3O3 at its relaxed geometry.

abc: 7.1891 8.4011 12.1387
angles: 90.00 90.00 90.00
With the nearest neighbours (Å) after each atom.
Atoms (fractional coordinates):
Cl (0.8273, 0.4492, 0.9161)  2 Ce 2.79-2.80
O (0.7562, 0.8773, 0.6580)  2 O 2.14-2.21, 1 Cl 2.29, 1 Ce 2.37
Cl (0.1727, 0.5508, 0.0839)  2 Ce 2.79-2.80
O (0.1053, 0.2500, 0.4783)  1 Ce 2.04, 2 O 2.21
O (0.2562, 0.3773, 0.8420)  2 O 2.14-2.21, 1 Cl 2.29, 1 Ce 2.37
Ce (0.6115, 0.7500, 0.5064)  1 O 2.04
O (0.7438, 0.6227, 0.1580)  2 O 2.14-2.21, 1 Cl 2.29, 1 Ce 2.37
O (0.2438, 0.1227, 0.3420)  2 O 2.14-2.21, 1 Cl 2.29, 1 Ce 2.37
Cl (0.3273, 0.9492, 0.5839)  2 Ce 2.79-2.80
Cl (0.6727, 0.0508, 0.4161)  2 Ce 2.79-2.80
Cl (0.3273, 0.5508, 0.5839)  2 Ce 2.79-2.80
Cl (0.8273, 0.0508, 0.9161)  2 Ce 2.79-2.80
Cl (0.0280, 0.2500, 0.2342)  2 O 2.29
O (0.2438, 0.3773, 0.3420)  2 O 2.14-2.21, 1 Cl 2.29, 1 Ce 2.37
Cl (0.6727, 0.4492, 0.4161)  2 Ce 2.79-2.80
Ce (0.8885, 0.7500, 0.0064)  1 O 2.04
O (0.7562, 0.6227, 0.6580)  2 O 2.14-2.21, 1 Cl 2.29, 1 Ce 2.37
O (0.7438, 0.8773, 0.1580)  2 O 2.14-2.21, 1 Cl 2.29, 1 Ce 2.37
Ce (0.3885, 0.2500, 0.4936)  1 O 2.04
Cl (0.9720, 0.7500, 0.7658)  2 O 2.29
O (0.3947, 0.2500, 0.9783)  1 Ce 2.04, 2 O 2.21
Cl (0.5280, 0.7500, 0.2658)  2 O 2.29
Cl (0.4720, 0.2500, 0.7342)  2 O 2.29
Cl (0.1727, 0.9492, 0.0839)  2 Ce 2.79-2.80
O (0.8947, 0.7500, 0.5217)  1 Ce 2.04, 2 O 2.21
O (0.6053, 0.7500, 0.0217)  1 Ce 2.04, 2 O 2.21
O (0.2562, 0.1227, 0.8420)  2 O 2.14-2.21, 1 Cl 2.29, 1 Ce 2.37
Ce (0.1115, 0.2500, 0.9936)  1 O 2.04

Computed properties:
Energy, eV/atom: -4.342
Space-group type: No. 62

Entry 12:
Density functional theory data (GGA-PBE) for crystalline CsHfHg2 at its relaxed geometry.

abc: 6.3339 6.3339 10.2422
angles: 71.99 71.99 90.00
With the nearest neighbours (Å) after each atom.
Atoms (fractional coordinates):
Hf (0.7500, 0.2500, 0.5000)  4 Hg 2.79
Hf (0.0000, 0.0000, 0.0000)  4 Hg 2.79
Hg (0.8728, 0.6250, 0.2500)  2 Hf 2.79
Cs (0.5000, 0.5000, 0.0000)  8 Hg 4.21-4.23, 4 Hf 4.48
Hg (0.8772, 0.1250, 0.2500)  2 Hf 2.79
Hg (0.8750, 0.1272, 0.7500)  2 Hf 2.79
Cs (0.2500, 0.7500, 0.5000)  8 Hg 4.21-4.23, 4 Hf 4.48
Hg (0.3750, 0.1228, 0.7500)  2 Hf 2.79

Computed properties:
Fermi-level density of states, states/eV/f.u.: 5.021
ΔE_f, eV/atom: 0.5438
Energy, eV/atom: -2.309
Relative energy among the computed polymorphs, meV/atom: 0
Space-group type: No. 122

> Which formula does entry 3 have?

Th2Cd2Pt15